(1)
The following is a PBE calculation of a relaxed structure of HfMoRuW, from Alexandria via LeMat-Bulk.

The density of states at the Fermi level comes out at 5.72 states/eV/cell. The value obtained for the formation energy from the elements is -0.24 eV per atom. For the theoretical density, the calculation gives 14174 kg/m³.

It has space group F-43m (No. 216), with a = 6.400 Å, b = 6.400 Å, c = 6.400 Å, α = 90.00°, β = 90.00° and γ = 90.00°. The asymmetric unit holds Hf at (0.000, 0.000, 0.000), Mo at (0.250, 0.250, 0.750), Ru at (0.250, 0.250, 0.250) and W at (0.000, 0.000, 0.500).


(2)
The following is a PBE calculation of a relaxed structure of Na2TbYS4, from Alexandria via LeMat-Bulk.

For the formation energy without anion corrections, the calculation gives -1849 meV/atom. The density of states at the Fermi level comes out at 0.00 states/eV/cell. For the theoretical density, the calculation gives 3789 kg/m³.

It has space group P2/m (No. 10), with a = 6.920 Å, b = 3.997 Å, c = 7.074 Å, α = 90.00°, β = 109.02° and γ = 90.00°. The asymmetric unit holds Na at (0.000, 0.000, 0.000), Na at (0.500, 0.500, 0.000), Tb at (0.000, 0.500, 0.500), Y at (0.500, 0.000, 0.500), S at (0.243, 0.000, 0.727) and S at (0.258, 0.500, 0.273).